Entry 1:
# Rb2SnC2O6, relaxed, DFT PBE-GGA
data_Rb2SnC2O6
_chemical_formula_sum 'Rb6 Sn3 C6 O18'
_cell_length_a 5.6139
_cell_length_b 5.6139
_cell_length_c 20.0194
_cell_angle_alpha 90.00
_cell_angle_beta 90.00
_cell_angle_gamma 120.00
_symmetry_space_group_name_H-M 'R -3 m'
_symmetry_Int_Tables_number 166
_symmetry_space_group_name_Hall '-R 3 2"'
loop_
_atom_site_label
_atom_site_fract_x
_atom_site_fract_y
_atom_site_fract_z
Rb1 0.0000 0.0000 0.2087
Sn1 0.0000 0.0000 0.0000
C1 0.0000 0.0000 0.4118
O1 0.0651 0.5325 0.2541
# * raw total energy: -6.456 eV per atom
# * D(E_F): 0.0 states/eV per cell
# * density: 3.735 g cm⁻³

***

Entry 2:
# Na3TiGa, relaxed, DFT PBE-GGA
data_Na3TiGa
_chemical_formula_sum 'Na3 Ti1 Ga1'
_cell_length_a 5.4154
_cell_length_b 5.4154
_cell_length_c 5.4154
_cell_angle_alpha 90.00
_cell_angle_beta 90.00
_cell_angle_gamma 90.00
_symmetry_space_group_name_H-M 'P m -3 m'
_symmetry_Int_Tables_number 221
_symmetry_space_group_name_Hall '-P 4 2 3'
loop_
_atom_site_label
_atom_site_fract_x
_atom_site_fract_y
_atom_site_fract_z
Na1 0.0000 0.0000 0.5000
Ti1 0.5000 0.5000 0.5000
Ga1 0.0000 0.0000 0.0000
# * energy of formation from the pure elements: 0.98 eV/atom
# * raw total energy: -1.993 eV per atom
# * D(E_F): 8.8 states/eV per cell
# * ΔE to the lowest computed polymorph: 0 meV per atom
# * density: 1.951 g cm⁻³

***

Entry 3:
# MnIn2Te, relaxed, DFT PBE-GGA
data_MnIn2Te
_chemical_formula_sum 'Mn1 In2 Te1'
_cell_length_a 5.0055
_cell_length_b 4.2765
_cell_length_c 5.2702
_cell_angle_alpha 90.00
_cell_angle_beta 100.21
_cell_angle_gamma 90.00
_symmetry_space_group_name_H-M 'P 1 2/m 1'
_symmetry_Int_Tables_number 10
_symmetry_space_group_name_Hall '-P 2y'
loop_
_atom_site_label
_atom_site_fract_x
_atom_site_fract_y
_atom_site_fract_z
Mn1 0.0000 0.0000 0.0000
In1 0.3511 0.5000 0.2335
Te1 0.0000 0.0000 0.5000
# * raw total energy: -4.254 eV per atom
# * D(E_F): 2.2 states/eV per cell
# * density: 6.164 g cm⁻³

***

Entry 4:
# BaZr2Cd, relaxed, DFT PBE-GGA
data_BaZr2Cd
_chemical_formula_sum 'Ba2 Zr4 Cd2'
_cell_length_a 6.5258
_cell_length_b 10.5228
_cell_length_c 3.1630
_cell_angle_alpha 90.00
_cell_angle_beta 90.00
_cell_angle_gamma 90.00
_symmetry_space_group_name_H-M 'C m m m'
_symmetry_Int_Tables_number 65
_symmetry_space_group_name_Hall '-C 2 2'
loop_
_atom_site_label
_atom_site_fract_x
_atom_site_fract_y
_atom_site_fract_z
Ba1 0.0000 0.0000 0.0000
Zr1 0.2500 0.2500 0.5000
Cd1 0.0000 0.5000 0.0000
# * energy of formation from the pure elements: 0.54 eV/atom
# * raw total energy: -4.441 eV per atom
# * D(E_F): 11.1 states/eV per cell
# * density: 6.608 g cm⁻³

***

Entry 5:
# Bi3PtAu2, relaxed, DFT PBE-GGA
data_Bi3PtAu2
_chemical_formula_sum 'Bi12 Pt4 Au8'
_cell_length_a 12.0595
_cell_length_b 4.2303
_cell_length_c 11.7150
_cell_angle_alpha 90.00
_cell_angle_beta 90.00
_cell_angle_gamma 90.00
_symmetry_space_group_name_H-M 'P n m a'
_symmetry_Int_Tables_number 62
_symmetry_space_group_name_Hall '-P 2ac 2n'
loop_
_atom_site_label
_atom_site_fract_x
_atom_site_fract_y
_atom_site_fract_z
Bi1 0.0567 0.2500 0.1155
Bi2 0.1131 0.7500 0.5491
Bi3 0.2376 0.2500 0.7913
Pt1 0.1183 0.2500 0.3771
Au1 0.0058 0.2500 0.7207
Au2 0.1706 0.7500 0.9754
# * energy of formation from the pure elements: -0.09 eV/atom
# * raw total energy: -4.129 eV per atom
# * D(E_F): 11.0 states/eV per cell
# * density: 13.514 g cm⁻³

***

Entry 6:
# BiMo6Se8, relaxed, DFT PBE-GGA
data_BiMo6Se8
_chemical_formula_sum 'Bi3 Mo18 Se24'
_cell_length_a 9.6411
_cell_length_b 9.6411
_cell_length_c 11.9297
_cell_angle_alpha 90.00
_cell_angle_beta 90.00
_cell_angle_gamma 120.00
_symmetry_space_group_name_H-M 'R -3'
_symmetry_Int_Tables_number 148
_symmetry_space_group_name_Hall '-R 3'
loop_
_atom_site_label
_atom_site_fract_x
_atom_site_fract_y
_atom_site_fract_z
Bi1 0.0000 0.0000 0.0000
Mo1 0.0159 0.8465 0.4057
Se1 0.0000 0.0000 0.2398
Se2 0.0008 0.6269 0.2515
# * raw total energy: -6.915 eV per atom
# * D(E_F): 22.7 states/eV per cell
# * density: 7.347 g cm⁻³